[1]
Sc2CdP after structural relaxation. Source: the Alexandria database, functional PBE.

Results
Magnetization in μB/cell: 0.0
ΔH_f (0 K) in eV/atom: -0.419
ρ in g cm⁻³: 4.95
ΔE to the lowest computed polymorph in meV/atom: 405.2
VASP energy in eV per atom: -5.166

The structure in CIF format:
```
data_Sc2CdP
_chemical_formula_sum 'Sc8 Cd4 P4'
_symmetry_space_group_name_H-M 'F m -3 m'
_symmetry_Int_Tables_number 225
_symmetry_space_group_name_Hall '-F 4 2 3'
_cell_length_a 6.792
_cell_length_b 6.792
_cell_length_c 6.792
_cell_angle_alpha 90.00
_cell_angle_beta 90.00
_cell_angle_gamma 90.00
loop_
_atom_site_label
_atom_site_type_symbol
_atom_site_fract_x
_atom_site_fract_y
_atom_site_fract_z
Sc1 Sc 0.250 0.250 0.250
Cd1 Cd 0.000 0.000 0.000
P1 P 0.000 0.000 0.500
```



[2]
FeIr3Se after structural relaxation. Source: the Alexandria database, functional PBE.

Results
Magnetization in μB/cell: 4.1
ρ in g cm⁻³: 12.45
ΔE to the lowest computed polymorph in meV/atom: 0.0
VASP energy in eV per atom: -6.282
Formation energy without anion corrections in meV/atom: 1424

The structure in CIF format:
```
data_FeIr3Se
_chemical_formula_sum 'Fe1 Ir3 Se1'
_symmetry_space_group_name_H-M 'P m -3 m'
_symmetry_Int_Tables_number 221
_symmetry_space_group_name_Hall '-P 4 2 3'
_cell_length_a 4.562
_cell_length_b 4.562
_cell_length_c 4.562
_cell_angle_alpha 90.00
_cell_angle_beta 90.00
_cell_angle_gamma 90.00
loop_
_atom_site_label
_atom_site_type_symbol
_atom_site_fract_x
_atom_site_fract_y
_atom_site_fract_z
Fe1 Fe 0.000 0.000 0.000
Ir1 Ir 0.000 0.500 0.500
Se1 Se 0.500 0.500 0.500
```



[3]
CdW2Br after structural relaxation. Source: the Alexandria database, functional PBE.

Results
Magnetization in μB/cell: 0.0
ρ in g cm⁻³: 11.14
ΔE to the lowest computed polymorph in meV/atom: 148.7
VASP energy in eV per atom: -6.590
Formation energy without anion corrections in meV/atom: 534

The structure in CIF format:
```
data_CdW2Br
_chemical_formula_sum 'Cd2 W4 Br2'
_symmetry_space_group_name_H-M 'C m m 2'
_symmetry_Int_Tables_number 35
_cell_length_a 3.216
_cell_length_b 5.032
_cell_length_c 10.315
_cell_angle_alpha 90.00
_cell_angle_beta 90.00
_cell_angle_gamma 90.00
loop_
_symmetry_equiv_pos_as_xyz
'x,y,z'
'-x,-y,z'
'-x,y,z'
'x,-y,z'
'x+1/2,y+1/2,z'
'-x+1/2,-y+1/2,z'
'-x+1/2,y+1/2,z'
'x+1/2,-y+1/2,z'
loop_
_atom_site_label
_atom_site_type_symbol
_atom_site_fract_x
_atom_site_fract_y
_atom_site_fract_z
Cd1 Cd 0.000 0.000 0.000
W1 W 0.000 0.000 0.563
W2 W 0.000 0.500 0.754
Br1 Br 0.000 0.500 0.345
```